(1)
Density functional theory data (GGA-PBEsol) for an optimized crystal structure of Cr2HgRh.

It has space group R-3m (No. 166, hexagonal axes), with a = 2.7102 Å, b = 2.7102 Å, c = 26.5159 Å, α = 90.00°, β = 90.00° and γ = 120.00°. The asymmetric unit holds Cr at (0.0000, 0.0000, 0.2434), Hg at (0.0000, 0.0000, 0.0000) and Rh at (0.0000, 0.0000, 0.5000).

The calculation puts the magnetic moment at 0.05 μB per formula unit. The formation energy comes out at 47 kJ per mole of atoms. The value obtained for the density of states at the Fermi level is 15.4 states/eV/cell. The uncorrected energy comes out at -6.811 eV/atom.

***

(2)
Density functional theory data (GGA-PBEsol) for an optimized crystal structure of Cr2HgRh.

It has space group C2/m (No. 12), with a = 8.950 Å, b = 2.820 Å, c = 4.698 Å, α = 90.00°, β = 101.09° and γ = 90.00°. The asymmetric unit holds Cr at (0.243, 0.000, 0.173), Hg at (0.000, 0.000, 0.500) and Rh at (0.000, 0.500, 0.000).

The calculation puts the magnetic moment at 0.00 μB per formula unit. The formation energy comes out at 35 kJ per mole of atoms. The value obtained for the density of states at the Fermi level is 6.8 states/eV/cell. The uncorrected energy comes out at -6.936 eV/atom.

***

(3)
Density functional theory data (GGA-PBEsol) for an optimized crystal structure of TlCr2HgRh.

It has space group P4/mmm (No. 123), with a = 4.946 Å, b = 4.946 Å, c = 5.210 Å, α = 90.00°, β = 90.00° and γ = 90.00°. The asymmetric unit holds Tl at (0.000, 0.000, 0.000), Cr at (0.000, 0.500, 0.500), Hg at (0.000, 0.000, 0.500) and Rh at (0.500, 0.500, 0.000).

The calculation puts the magnetic moment at 8.23 μB per formula unit. The formation energy comes out at 178 kJ per mole of atoms. The value obtained for the density of states at the Fermi level is 6.3 states/eV/cell. The uncorrected energy comes out at -4.521 eV/atom.